(1)
VASP calculation (PBE) on crystalline NaSr8Pt2 at its relaxed geometry.

## Properties
- formation enthalpy at 0 K (eV per atom) = -0.35
- symmetry = C2/m (12)
- E_tot (eV per atom) = -2.7882

abc: 7.224 7.690 9.631
angles: 113.53 81.50 90.00
Positions (direct):
1 Sr 0.385 0.608 0.715
2 Sr 0.615 0.893 0.285
3 Sr 0.615 0.392 0.285
4 Sr 0.904 0.795 0.590
5 Sr 0.173 0.577 0.154
6 Sr 0.096 0.205 0.410
7 Sr 0.827 0.423 0.846
8 Sr 0.385 0.107 0.715
9 Pt 0.683 0.273 0.546
10 Pt 0.317 0.727 0.454
11 Na 0.000 0.000 0.000

---

(2)
VASP calculation (PBE) on crystalline NaSr3Pt8 at its relaxed geometry.

## Properties
- formation enthalpy at 0 K (eV per atom) = -0.78
- symmetry = R3m (160)
- E_tot (eV per atom) = -5.3366

abc: 5.533 5.533 9.540
angles: 73.14 73.14 60.00
Positions (direct):
1 Pt 0.938 0.438 0.686
2 Pt 0.437 0.938 0.188
3 Pt 0.688 0.688 0.937
4 Pt 0.938 0.437 0.188
5 Pt 0.938 0.938 0.686
6 Pt 0.188 0.188 0.437
7 Pt 0.437 0.437 0.188
8 Pt 0.438 0.938 0.686
9 Sr 0.376 0.376 0.872
10 Sr 0.503 0.503 0.490
11 Sr 0.996 0.996 0.013
12 Na 0.874 0.874 0.379